Entry 1:
## YMnTc3 (GGA-PBE)

Data for YMnTc3 after structural relaxation.

energy above the lowest structure with this stoichiometry: 0.0 meV per atom
energy of formation: 0.59 eV/atom
symmetry: Pm-3m, No. 221

Lattice parameters (Å, degrees): 4.501 4.501 4.501 90.00 90.00 90.00
Element x y z (fractional)
Y (0.000, 0.000, 0.000)
Mn (0.500, 0.500, 0.500)
Tc (0.000, 0.500, 0.500)
Tc (0.500, 0.000, 0.500)
Tc (0.500, 0.500, 0.000)



Entry 2:
## Y2MnTc (GGA-PBE)

Data for Y2MnTc after structural relaxation.

energy above the lowest structure with this stoichiometry: 124.4 meV per atom
energy of formation: 0.16 eV/atom
symmetry: P4/mmm, No. 123

Lattice parameters (Å, degrees): 3.548 3.548 6.838 90.00 90.00 90.00
Element x y z (fractional)
Y (0.000, 0.000, 0.236)
Y (0.000, 0.000, 0.764)
Mn (0.500, 0.500, 0.500)
Tc (0.500, 0.500, 0.000)



Entry 3:
## Y2Mn2Tc (GGA-PBE)

Data for Y2Mn2Tc after structural relaxation.

energy of formation: 0.14 eV/atom
symmetry: P4/mbm, No. 127

Lattice parameters (Å, degrees): 6.276 6.276 4.699 90.00 90.00 90.00
Element x y z (fractional)
Y (0.182, 0.318, 0.000)
Y (0.318, 0.818, 0.000)
Y (0.682, 0.182, 0.000)
Y (0.818, 0.682, 0.000)
Mn (0.120, 0.620, 0.500)
Mn (0.380, 0.120, 0.500)
Mn (0.620, 0.880, 0.500)
Mn (0.880, 0.380, 0.500)
Tc (0.000, 0.000, 0.500)
Tc (0.500, 0.500, 0.500)



Entry 4:
## YMnTc (GGA-PBE)

Data for YMnTc after structural relaxation.

energy above the lowest structure with this stoichiometry: 216.7 meV per atom
energy of formation: 0.16 eV/atom
symmetry: I4mm, No. 107

Lattice parameters (Å, degrees): 3.078 3.078 11.205 90.00 90.00 90.00
Element x y z (fractional)
Y (0.000, 0.000, 0.000)
Y (0.500, 0.500, 0.500)
Mn (0.000, 0.000, 0.698)
Mn (0.500, 0.500, 0.198)
Tc (0.000, 0.000, 0.298)
Tc (0.500, 0.500, 0.798)



Entry 5:
## Y2MnTc (GGA-PBE)

Data for Y2MnTc after structural relaxation.

energy above the lowest structure with this stoichiometry: 300.0 meV per atom
energy of formation: 0.33 eV/atom
symmetry: I-4m2, No. 119

Lattice parameters (Å, degrees): 4.205 4.205 9.639 90.00 90.00 90.00
Element x y z (fractional)
Y (0.000, 0.000, 0.000)
Y (0.000, 0.500, 0.250)
Y (0.500, 0.000, 0.750)
Y (0.500, 0.500, 0.500)
Mn (0.000, 0.500, 0.750)
Mn (0.500, 0.000, 0.250)
Tc (0.000, 0.000, 0.500)
Tc (0.500, 0.500, 0.000)



Entry 6:
## Y2MnTc3 (GGA-PBE)

Data for Y2MnTc3 after structural relaxation.

energy of formation: -0.14 eV/atom
symmetry: R-3m, No. 166

Lattice parameters (Å, degrees): 5.497 5.497 5.497 57.51 57.51 57.51
Element x y z (fractional)
Y (0.123, 0.123, 0.123)
Y (0.877, 0.877, 0.877)
Mn (0.500, 0.500, 0.500)
Tc (0.000, 0.500, 0.500)
Tc (0.500, 0.000, 0.500)
Tc (0.500, 0.500, 0.000)